Record 1
Density functional theory data (PBE) for La2Ag after structural relaxation.

a = 3.8155 Å, b = 3.8155 Å, c = 12.7224 Å
α = 90.00°, β = 90.00°, γ = 90.00°
Atoms (fractional coordinates):
La: 0.0000 0.0000 0.0000
La: 0.0000 0.0000 0.3006
La: 0.0000 0.0000 0.6994
La: 0.5000 0.5000 0.5000
Ag: 0.5000 0.5000 0.1515
Ag: 0.5000 0.5000 0.8485

Summary:
formation enthalpy at 0 K = -0.16 eV per atom
total magnetic moment = 0.00 μB/f.u.
DOS(E_F) = 4.5 states/eV/f.u.



Record 2
Density functional theory data (PBE) for ZnSb3N after structural relaxation.

a = 5.1269 Å, b = 5.1269 Å, c = 5.1269 Å
α = 90.00°, β = 90.00°, γ = 90.00°
Atoms (fractional coordinates):
Zn: 0.0000 0.0000 0.0000
Sb: 0.0000 0.0000 0.5000
Sb: 0.0000 0.5000 0.0000
Sb: 0.5000 0.0000 0.0000
N: 0.5000 0.5000 0.5000

Summary:
ΔE_f (raw) = 1.682 eV/atom
total magnetic moment = 0.00 μB/f.u.
DOS(E_F) = 7.8 states/eV/f.u.
energy above the most stable polymorph in this dataset = 5.260 eV per formula unit



Record 3
Density functional theory data (PBE) for HoCuNiGe2 after structural relaxation.

a = 5.7930 Å, b = 5.7930 Å, c = 5.7930 Å
α = 139.11°, β = 139.11°, γ = 59.20°
Atoms (fractional coordinates):
Ho: 0.0000 0.0000 0.0000
Cu: 0.2500 0.7500 0.5000
Ni: 0.7500 0.2500 0.5000
Ge: 0.3771 0.3771 0.0000
Ge: 0.6229 0.6229 0.0000

Summary:
formation enthalpy at 0 K = -0.58 eV per atom
total magnetic moment = 0.00 μB/f.u.
DOS(E_F) = 2.7 states/eV/f.u.



Record 4
Density functional theory data (PBE) for BaCoPdAu2 after structural relaxation.

a = 5.2198 Å, b = 5.2198 Å, c = 4.7325 Å
α = 90.00°, β = 90.00°, γ = 90.00°
Atoms (fractional coordinates):
Ba: 0.0000 0.0000 0.0000
Co: 0.5000 0.5000 0.0000
Pd: 0.5000 0.5000 0.5000
Au: 0.0000 0.5000 0.5000
Au: 0.5000 0.0000 0.5000

Summary:
formation enthalpy at 0 K = 0.07 eV per atom
total magnetic moment = 2.17 μB/f.u.
DOS(E_F) = 3.5 states/eV/f.u.



Record 5
Density functional theory data (PBE) for Ce6MgPb2 after structural relaxation.

a = 9.1640 Å, b = 9.1640 Å, c = 3.2124 Å
α = 90.00°, β = 90.00°, γ = 120.00°
Atoms (fractional coordinates):
Ce: 0.0000 0.3227 0.0000
Ce: 0.0000 0.6773 0.0000
Ce: 0.3227 0.0000 0.0000
Ce: 0.3227 0.3227 0.0000
Ce: 0.6773 0.0000 0.0000
Ce: 0.6773 0.6773 0.0000
Mg: 0.0000 0.0000 0.5000
Pb: 0.3333 0.6667 0.5000
Pb: 0.6667 0.3333 0.5000

Summary:
formation enthalpy at 0 K = -0.10 eV per atom
total magnetic moment = 3.87 μB/f.u.
DOS(E_F) = 24.4 states/eV/f.u.



Record 6
Density functional theory data (PBE) for BeSb2Rh after structural relaxation.

a = 3.1963 Å, b = 3.1963 Å, c = 7.1959 Å
α = 90.00°, β = 90.00°, γ = 90.00°
Atoms (fractional coordinates):
Be: 0.0000 0.0000 0.0000
Sb: 0.5000 0.5000 0.2547
Sb: 0.5000 0.5000 0.7453
Rh: 0.0000 0.0000 0.5000

Summary:
ΔE_f (raw) = 0.217 eV/atom
total magnetic moment = 0.00 μB/f.u.
DOS(E_F) = 1.3 states/eV/f.u.